1.
This record from Alexandria describes an optimized crystal structure of ScCo5Re. The functional is PBE.

a b c (Å): 7.750 4.677 9.727
angles (deg): 90.00 90.00 90.00
Atoms (fractional coordinates):
1 Sc 0.249 0.250 0.059
2 Sc 0.251 0.750 0.559
3 Sc 0.749 0.250 0.441
4 Sc 0.751 0.750 0.941
5 Co 0.047 0.750 0.083
6 Co 0.067 0.005 0.305
7 Co 0.067 0.495 0.305
8 Co 0.096 0.250 0.519
9 Co 0.189 0.250 0.754
10 Co 0.311 0.750 0.254
11 Co 0.404 0.750 0.019
12 Co 0.433 0.505 0.805
13 Co 0.433 0.995 0.805
14 Co 0.453 0.250 0.583
15 Co 0.547 0.750 0.417
16 Co 0.567 0.005 0.195
17 Co 0.567 0.495 0.195
18 Co 0.596 0.250 0.981
19 Co 0.689 0.250 0.746
20 Co 0.811 0.750 0.246
21 Co 0.904 0.750 0.481
22 Co 0.933 0.505 0.695
23 Co 0.933 0.995 0.695
24 Co 0.953 0.250 0.917
25 Re 0.138 0.750 0.852
26 Re 0.362 0.250 0.352
27 Re 0.638 0.750 0.648
28 Re 0.862 0.250 0.148

- final energy (eV per cell) = -220.5
- ΔH_f (0 K) (kcal/mol of atoms) = -2.66

---

2.
This record from Alexandria describes an optimized crystal structure of SrSn2Au4. The functional is PBE.

a b c (Å): 5.113 18.251 8.424
angles (deg): 90.00 123.97 90.00
Atoms (fractional coordinates):
1 Sr 0.220 0.142 0.495
2 Sr 0.220 0.358 0.995
3 Sr 0.780 0.642 0.005
4 Sr 0.780 0.858 0.505
5 Sn 0.311 0.716 0.515
6 Sn 0.311 0.784 0.015
7 Sn 0.431 0.530 0.265
8 Sn 0.431 0.970 0.765
9 Sn 0.569 0.030 0.235
10 Sn 0.569 0.470 0.735
11 Sn 0.689 0.216 0.985
12 Sn 0.689 0.284 0.485
13 Au 0.002 0.684 0.722
14 Au 0.002 0.816 0.222
15 Au 0.120 0.573 0.494
16 Au 0.120 0.927 0.994
17 Au 0.169 0.531 0.860
18 Au 0.169 0.969 0.360
19 Au 0.411 0.181 0.192
20 Au 0.411 0.319 0.692
21 Au 0.589 0.681 0.308
22 Au 0.589 0.819 0.808
23 Au 0.831 0.031 0.640
24 Au 0.831 0.469 0.140
25 Au 0.880 0.073 0.006
26 Au 0.880 0.427 0.506
27 Au 0.998 0.184 0.778
28 Au 0.998 0.316 0.278

- final energy (eV per cell) = -102.9
- polymorph energy (0 for the lowest one) (meV/atom) = 0
- ΔH_f (0 K) (kcal/mol of atoms) = -9.68

---

3.
This record from Alexandria describes an optimized crystal structure of CdIn2Br. The functional is PBE.

a b c (Å): 3.556 3.556 9.892
angles (deg): 90.00 90.00 114.07
Atoms (fractional coordinates):
1 Cd 0.000 0.000 0.000
2 In 0.500 0.500 0.259
3 In 0.500 0.500 0.741
4 Br 0.000 0.000 0.500

- final energy (eV per cell) = -8.6
- ΔE_f (raw) (meV per atom) = -138
- polymorph energy (0 for the lowest one) (meV/atom) = 72

---

4.
This record from Alexandria describes an optimized crystal structure of CdTeS2. The functional is PBE.

a b c (Å): 8.330 8.330 8.330
angles (deg): 26.76 26.76 26.76
Atoms (fractional coordinates):
1 Cd 0.000 0.000 0.000
2 Te 0.500 0.500 0.500
3 S 0.395 0.395 0.395
4 S 0.605 0.605 0.605

- final energy (eV per cell) = -12.7
- ΔE_f (raw) (meV per atom) = -105
- polymorph energy (0 for the lowest one) (meV/atom) = 0

---

5.
This record from Alexandria describes an optimized crystal structure of LaMgBe. The functional is PBE.

a b c (Å): 4.965 4.965 4.965
angles (deg): 60.00 60.00 60.00
Atoms (fractional coordinates):
1 La 0.000 0.000 0.000
2 Mg 0.750 0.750 0.750
3 Be 0.250 0.250 0.250

- final energy (eV per cell) = -7.8
- polymorph energy (0 for the lowest one) (meV/atom) = 630
- ΔH_f (0 K) (kcal/mol of atoms) = 18.85

---

6.
This record from Alexandria describes an optimized crystal structure of LaY6Tm3. The functional is PBE.

a b c (Å): 6.901 6.901 6.901
angles (deg): 90.80 90.80 90.80
Atoms (fractional coordinates):
1 La 0.000 0.000 0.000
2 Y 0.006 0.339 0.664
3 Y 0.172 0.834 0.507
4 Y 0.339 0.664 0.006
5 Y 0.507 0.172 0.834
6 Y 0.664 0.006 0.339
7 Y 0.834 0.507 0.172
8 Tm 0.247 0.247 0.247
9 Tm 0.496 0.496 0.496
10 Tm 0.740 0.740 0.740

- final energy (eV per cell) = -54.6
- polymorph energy (0 for the lowest one) (meV/atom) = 106
- ΔH_f (0 K) (kcal/mol of atoms) = 5.83

---

7.
This record from Alexandria describes an optimized crystal structure of SmSnPt4. The functional is PBE.

a b c (Å): 10.738 10.738 5.623
angles (deg): 90.00 90.00 156.60
Atoms (fractional coordinates):
1 Sm 0.110 0.890 0.750
2 Sm 0.890 0.110 0.250
3 Sn 0.398 0.602 0.750
4 Sn 0.602 0.398 0.250
5 Pt 0.174 0.826 0.250
6 Pt 0.290 0.710 0.008
7 Pt 0.290 0.710 0.492
8 Pt 0.500 0.500 0.000
9 Pt 0.500 0.500 0.500
10 Pt 0.710 0.290 0.508
11 Pt 0.710 0.290 0.992
12 Pt 0.826 0.174 0.750

- final energy (eV per cell) = -72.6
- polymorph energy (0 for the lowest one) (meV/atom) = 192
- ΔH_f (0 K) (kcal/mol of atoms) = -13.09

---

8.
This record from Alexandria describes an optimized crystal structure of HgTe4Au. The functional is PBE.

a b c (Å): 6.356 6.356 6.356
angles (deg): 60.00 60.00 60.00
Atoms (fractional coordinates):
1 Hg 0.000 0.000 0.000
2 Te 0.127 0.624 0.624
3 Te 0.624 0.127 0.624
4 Te 0.624 0.624 0.127
5 Te 0.624 0.624 0.624
6 Au 0.250 0.250 0.250

- final energy (eV per cell) = -13.2
- ΔE_f (raw) (meV per atom) = 489
- polymorph energy (0 for the lowest one) (meV/atom) = 465

---

- Which value of final energy does entry 6 give?
  -54.6 eV per cell

---

- What is the final energy in the fifth record?
  -7.8 eV per cell

---

- Which value of final energy does entry 6 give?
  -54.6 eV per cell

---

- final energy of number 6 (LaY6Tm3)?
  -54.6 eV per cell